The following is a PBE+U calculation of a relaxed CdWO4 crystal, from Alexandria via LeMat-Bulk.

The structure in POSCAR format:
```
CdWO4
1.0
5.088 0.000 0.000
0.000 6.009 0.000
-0.170 0.000 5.200
Cd W O
2 2 8
Cartesian
-0.043 1.107 1.300
-0.128 4.902 3.900
2.417 1.992 3.900
2.502 4.018 1.300
1.195 0.814 3.207
1.280 5.195 0.607
1.516 2.415 0.290
1.431 3.595 2.890
3.487 2.415 2.310
3.402 3.595 4.910
3.638 0.814 4.593
3.723 5.195 1.993
```

Output
SG = P2/c, No. 13
energy = -38.44 eV per formula unit
magnetization = 0.00 μB per formula unit
crystal system = monoclinic